A geometry-optimized InFe2N structure. Source: Alexandria via LeMat-Bulk, functional PBE-GGA.

```
data_InFe2N
_cell_length_a 5.992
_cell_length_b 5.992
_cell_length_c 5.992
_cell_angle_alpha 90.00
_cell_angle_beta 90.00
_cell_angle_gamma 90.00
_space_group_name_H-M_alt 'F m -3 m'
_space_group_IT_number 225
_space_group_name_Hall '-F 4 2 3'
loop_
_atom_site_label
_atom_site_type_symbol
_atom_site_fract_x
_atom_site_fract_y
_atom_site_fract_z
In1 In 0.000 0.000 0.000
Fe1 Fe 0.250 0.250 0.250
N1 N 0.000 0.000 0.500
```

Values from the calculation:
Formation energy without anion corrections, eV per atom: 1.1793
E_tot, eV per cell: -93.09

---

A geometry-optimized Nb2InFeN structure. Source: Alexandria via LeMat-Bulk, functional PBE-GGA.

```
data_Nb2InFeN
_cell_length_a 4.357
_cell_length_b 4.357
_cell_length_c 3.904
_cell_angle_alpha 90.00
_cell_angle_beta 90.00
_cell_angle_gamma 90.00
_space_group_name_H-M_alt 'P 4/m m m'
_space_group_IT_number 123
_space_group_name_Hall '-P 4 2'
loop_
_atom_site_label
_atom_site_type_symbol
_atom_site_fract_x
_atom_site_fract_y
_atom_site_fract_z
Nb1 Nb 0.000 0.500 0.000
In1 In 0.000 0.000 0.500
Fe1 Fe 0.500 0.500 0.500
N1 N 0.500 0.500 0.000
```

Values from the calculation:
Formation energy without anion corrections, eV per atom: -0.3092
E_tot, eV per cell: -41.21

---

A geometry-optimized InFeNi2N structure. Source: Alexandria via LeMat-Bulk, functional PBE-GGA.

```
data_InFeNi2N
_cell_length_a 3.906
_cell_length_b 3.906
_cell_length_c 3.836
_cell_angle_alpha 90.00
_cell_angle_beta 90.00
_cell_angle_gamma 90.00
_space_group_name_H-M_alt 'P 4/m m m'
_space_group_IT_number 123
_space_group_name_Hall '-P 4 2'
loop_
_atom_site_label
_atom_site_type_symbol
_atom_site_fract_x
_atom_site_fract_y
_atom_site_fract_z
In1 In 0.000 0.000 0.000
Fe1 Fe 0.500 0.500 0.000
Ni1 Ni 0.000 0.500 0.500
N1 N 0.500 0.500 0.500
```

Values from the calculation:
Formation energy without anion corrections, eV per atom: -0.0817
E_tot, eV per cell: -31.50

---

> formation energy without anion corrections of number 2 (Nb2InFeN)?

-0.3092 eV per atom

---

> E_tot of number 2 (Nb2InFeN)?

-41.21 eV per cell

---

> Which formula does entry 1 have?

InFe2N

---

> Number 2 is which compound?

Nb2InFeN